An optimized crystal structure of CsMoSCl2, computed with GGA-PBE.

* volume: 129.0 Å³/f.u.
* Fermi-level density of states: 2.66 states/eV per cell
* ΔE_f (raw): -0.88 eV per atom
* relative energy among the computed polymorphs: 0.000 eV per atom

abc: 5.2627 5.2627 4.6582
angles: 90.00 90.00 90.00
Site moments in Bohr magnetons follow the coordinates.
Sites, in units of the cell vectors:
S (0.0000, 0.0000, 0.5000)  -0.05
Cl (0.0000, 0.5000, 0.0000)  0.02
Cl (0.5000, 0.0000, 0.0000)  0.02
Cs (0.5000, 0.5000, 0.5000)  0.00
Mo (0.0000, 0.0000, 0.0000)  1.59



An optimized crystal structure of Cs2MoSCl5, computed with GGA-PBE.

* volume: 296.8 Å³/f.u.
* ΔE_f (raw): -1.34 eV per atom

abc: 7.4260 7.4260 7.4260
angles: 93.09 118.23 118.23
Site moments in Bohr magnetons follow the coordinates.
Sites, in units of the cell vectors:
Cl (0.0000, 0.7798, 0.2279)  0.02
Cl (0.0000, 0.2279, 0.7798)  0.02
Cl (0.0000, 0.2281, 0.2281)  -0.01
Cl (0.4481, 0.2279, 0.2279)  0.02
Cl (0.5519, 0.7798, 0.7798)  0.02
S (0.0000, 0.7691, 0.7691)  -0.09
Cs (0.5000, 0.7540, 0.2540)  0.00
Cs (0.5000, 0.2540, 0.7540)  0.00
Mo (0.0000, 0.9794, 0.9794)  0.93



An optimized crystal structure of CsMoSCl2, computed with GGA-PBE.

* volume: 209.8 Å³/f.u.
* Fermi-level density of states: 10.23 states/eV per cell
* ΔE_f (raw): 0.94 eV per atom
* relative energy among the computed polymorphs: 1.817 eV per atom

abc: 6.1402 6.1402 5.5638
angles: 90.00 90.00 90.00
Site moments in Bohr magnetons follow the coordinates.
Sites, in units of the cell vectors:
S (0.0000, 0.0000, 0.5000)  -0.30
Mo (0.5000, 0.5000, 0.5000)  4.01
Cl (0.0000, 0.5000, 0.0000)  -0.10
Cl (0.5000, 0.0000, 0.0000)  -0.10
Cs (0.0000, 0.0000, 0.0000)  -0.02



An optimized crystal structure of CsSb2MoCl, computed with GGA-PBE.

* volume: 161.6 Å³/f.u.
* Fermi-level density of states: 3.84 states/eV per cell
* ΔE_f (raw): -0.14 eV per atom

abc: 5.2240 5.9221 5.2240
angles: 90.00 90.00 90.00
Site moments in Bohr magnetons follow the coordinates.
Sites, in units of the cell vectors:
Sb (0.5000, 0.0000, 0.0000)  -0.02
Sb (0.0000, 0.0000, 0.5000)  -0.01
Cs (0.5000, 0.5000, 0.5000)  0.00
Cl (0.0000, 0.5000, 0.0000)  -0.02
Mo (0.0000, 0.0000, 0.0000)  0.36



An optimized crystal structure of Cs2ScMoCl, computed with GGA-PBE.

* volume: 204.0 Å³/f.u.
* Fermi-level density of states: 4.04 states/eV per cell
* ΔE_f (raw): 0.52 eV per atom

abc: 6.4897 4.8427 6.4897
angles: 90.00 90.00 90.00
Site moments in Bohr magnetons follow the coordinates.
Sites, in units of the cell vectors:
Cl (0.5000, 0.5000, 0.5000)  0.00
Mo (0.0000, 0.0000, 0.0000)  1.43
Cs (0.0000, 0.0000, 0.5000)  0.03
Cs (0.5000, 0.0000, 0.0000)  0.04
Sc (0.0000, 0.5000, 0.0000)  -0.07



An optimized crystal structure of CsSi2MoCl, computed with GGA-PBE.

* volume: 149.1 Å³/f.u.
* Fermi-level density of states: 1.97 states/eV per cell
* ΔE_f (raw): 1.43 eV per atom

abc: 5.0379 5.8730 5.0379
angles: 90.00 90.00 90.00
Site moments in Bohr magnetons follow the coordinates.
Sites, in units of the cell vectors:
Cs (0.0000, 0.5000, 0.0000)  0.04
Si (0.0000, 0.0000, 0.5000)  -0.12
Si (0.5000, 0.0000, 0.0000)  -0.12
Cl (0.0000, 0.0000, 0.0000)  0.00
Mo (0.5000, 0.5000, 0.5000)  3.68



An optimized crystal structure of Cs2SnMoCl6, computed with GGA-PBE.

* volume: 319.7 Å³/f.u.
* Fermi-level density of states: 2.08 states/eV per cell
* ΔE_f (raw): -1.22 eV per atom

abc: 7.6698 7.6698 7.6783
angles: 60.04 60.04 90.00
Site moments in Bohr magnetons follow the coordinates.
Sites, in units of the cell vectors:
Mo (0.5000, 0.5000, 0.0000)  2.99
Cl (0.2646, 0.2646, 0.4709)  0.01
Cl (0.7351, 0.7351, 0.0000)  0.01
Cl (0.2649, 0.7351, 0.0000)  0.01
Cl (0.7351, 0.2649, 0.0000)  0.01
Cl (0.7354, 0.7354, 0.5291)  0.01
Cl (0.2649, 0.2649, 0.0000)  0.01
Sn (0.0000, 0.0000, 0.0000)  0.18
Cs (0.7500, 0.2500, 0.5000)  0.00
Cs (0.2500, 0.7500, 0.5000)  0.00



An optimized crystal structure of Cs2TaMoCl6, computed with GGA-PBE.

* volume: 300.2 Å³/f.u.
* Fermi-level density of states: 13.01 states/eV per cell
* ΔE_f (raw): -0.97 eV per atom

abc: 7.6471 7.6471 7.4565
angles: 59.15 59.15 90.00
Site moments in Bohr magnetons follow the coordinates.
Sites, in units of the cell vectors:
Cl (0.7535, 0.7535, 0.4930)  0.01
Cl (0.2328, 0.7672, 0.0000)  0.02
Cl (0.7672, 0.2328, 0.0000)  0.02
Cl (0.2465, 0.2465, 0.5070)  0.01
Cl (0.2328, 0.2328, 0.0000)  0.02
Cl (0.7672, 0.7672, 0.0000)  0.02
Mo (0.5000, 0.5000, 0.0000)  3.75
Cs (0.2500, 0.7500, 0.5000)  0.00
Cs (0.7500, 0.2500, 0.5000)  0.00
Ta (0.0000, 0.0000, 0.0000)  1.60



An optimized crystal structure of Cs2TeMoCl6, computed with GGA-PBE.

* volume: 358.3 Å³/f.u.
* Fermi-level density of states: 6.96 states/eV per cell
* ΔE_f (raw): -1.07 eV per atom

abc: 8.4415 8.4415 7.8050
angles: 57.26 57.26 90.00
Site moments in Bohr magnetons follow the coordinates.
Sites, in units of the cell vectors:
Cl (0.7041, 0.7041, 0.0000)  0.01
Cl (0.2959, 0.7041, 0.0000)  0.01
Cl (0.7429, 0.7429, 0.5143)  -0.02
Cl (0.7041, 0.2959, 0.0000)  0.01
Cl (0.2959, 0.2959, 0.0000)  0.01
Cl (0.2571, 0.2571, 0.4857)  -0.02
Cs (0.2500, 0.7500, 0.5000)  0.00
Cs (0.7500, 0.2500, 0.5000)  0.00
Mo (0.5000, 0.5000, 0.0000)  2.17
Te (0.0000, 0.0000, 0.0000)  -0.29



An optimized crystal structure of Cs2TlMoCl6, computed with GGA-PBE.

* volume: 339.9 Å³/f.u.
* Fermi-level density of states: 0.00 states/eV per cell
* ΔE_f (raw): -1.38 eV per atom

abc: 7.8342 7.8342 7.8337
angles: 60.00 60.00 90.00
Site moments in Bohr magnetons follow the coordinates.
Sites, in units of the cell vectors:
Cl (0.7226, 0.7226, 0.0000)  0.01
Cl (0.7226, 0.7226, 0.5548)  0.01
Cl (0.7226, 0.2774, 0.0000)  0.01
Cl (0.2774, 0.2774, 0.0000)  0.01
Cl (0.2774, 0.7226, 0.0000)  0.01
Cl (0.2774, 0.2774, 0.4452)  0.01
Cs (0.7500, 0.2500, 0.5000)  0.00
Cs (0.2500, 0.7500, 0.5000)  0.00
Tl (0.0000, 0.0000, 0.0000)  -0.01
Mo (0.5000, 0.5000, 0.0000)  2.46



An optimized crystal structure of CsTl2MoCl8, computed with GGA-PBE.

* volume: 411.4 Å³/f.u.
* Fermi-level density of states: 5.80 states/eV per cell
* ΔE_f (raw): -1.07 eV per atom

abc: 6.1461 7.5326 9.6080
angles: 89.98 89.99 112.36
Site moments in Bohr magnetons follow the coordinates.
Sites, in units of the cell vectors:
Cl (0.4038, 0.1788, 0.0001)  -0.02
Cl (0.9577, 0.2086, 0.8257)  0.01
Cl (0.3980, 0.7025, 0.5000)  -0.02
Cl (0.6020, 0.2975, 0.5000)  -0.02
Cl (0.0428, 0.7916, 0.8258)  0.01
Cl (0.9572, 0.2084, 0.1742)  0.01
Cl (0.5962, 0.8212, 0.9999)  -0.02
Cl (0.0423, 0.7914, 0.1743)  0.01
Tl (0.4999, 0.5000, 0.2652)  -0.02
Tl (0.5001, 0.5000, 0.7348)  -0.02
Mo (0.0000, 0.0000, 0.0000)  0.96
Cs (0.0000, 0.0000, 0.5000)  0.00



An optimized crystal structure of CsTl2MoCl6, computed with GGA-PBE.

* volume: 338.6 Å³/f.u.
* Fermi-level density of states: 0.00 states/eV per cell
* ΔE_f (raw): -1.17 eV per atom

abc: 7.3095 8.5226 10.8772
angles: 90.00 87.96 90.00
Site moments in Bohr magnetons follow the coordinates.
Sites, in units of the cell vectors:
Tl (0.0157, 0.9565, 0.2752)  0.01
Tl (0.9843, 0.0435, 0.7248)  0.01
Tl (0.4843, 0.4565, 0.2248)  0.01
Tl (0.5157, 0.5435, 0.7752)  0.01
Cl (0.6451, 0.2255, 0.6023)  0.01
Cl (0.7128, 0.3512, 0.9823)  0.01
Cl (0.6145, 0.1020, 0.2990)  0.01
Cl (0.8549, 0.7255, 0.8977)  0.01
Cl (0.1451, 0.2745, 0.1023)  0.01
Cl (0.7872, 0.8512, 0.5177)  0.01
Cl (0.2128, 0.1488, 0.4823)  0.01
Cl (0.8855, 0.6020, 0.2010)  0.01
Cl (0.1145, 0.3980, 0.7990)  0.01
Cl (0.3549, 0.7745, 0.3977)  0.01
Cl (0.3855, 0.8980, 0.7010)  0.01
Cl (0.2872, 0.6488, 0.0177)  0.01
Cs (0.5000, 0.0000, 0.0000)  0.00
Cs (0.0000, 0.5000, 0.5000)  0.00
Mo (0.5000, 0.0000, 0.5000)  2.45
Mo (0.0000, 0.5000, 0.0000)  2.45



An optimized crystal structure of CsTlMoCl6, computed with GGA-PBE.

* volume: 342.2 Å³/f.u.
* Fermi-level density of states: 6.60 states/eV per cell
* ΔE_f (raw): -1.18 eV per atom

abc: 7.0022 7.5120 7.5120
angles: 120.00 90.00 90.00
Site moments in Bohr magnetons follow the coordinates.
Sites, in units of the cell vectors:
Cl (0.3016, 0.9966, 0.7368)  0.00
Cl (0.6984, 0.2632, 0.0034)  0.00
Cl (0.6984, 0.9966, 0.2599)  0.00
Cl (0.3016, 0.7401, 0.0034)  0.00
Cl (0.6984, 0.7401, 0.7368)  0.00
Cl (0.3016, 0.2632, 0.2599)  0.00
Cs (0.0000, 0.3333, 0.6667)  0.00
Mo (0.5000, 0.0000, 0.0000)  1.74
Tl (0.5000, 0.6667, 0.3333)  -0.02



An optimized crystal structure of Cs2MoWCl6, computed with GGA-PBE.

* volume: 292.0 Å³/f.u.
* Fermi-level density of states: 0.20 states/eV per cell
* ΔE_f (raw): -0.83 eV per atom

abc: 7.4450 7.4450 7.4470
angles: 60.01 60.01 90.00
Site moments in Bohr magnetons follow the coordinates.
Sites, in units of the cell vectors:
Cs (0.2500, 0.7500, 0.5000)  0.00
Cs (0.7500, 0.2500, 0.5000)  0.00
Cl (0.2391, 0.7609, 0.0000)  0.03
Cl (0.2389, 0.2389, 0.5221)  0.03
Cl (0.7611, 0.7611, 0.4779)  0.03
Cl (0.7609, 0.2391, 0.0000)  0.03
Cl (0.2391, 0.2391, 0.0000)  0.03
Cl (0.7609, 0.7609, 0.0000)  0.03
W (0.0000, 0.0000, 0.0000)  2.54
Mo (0.5000, 0.5000, 0.0000)  3.74



An optimized crystal structure of Cs2YMoCl6, computed with GGA-PBE.

* volume: 281.5 Å³/f.u.
* Fermi-level density of states: 6.14 states/eV per cell
* ΔE_f (raw): -1.47 eV per atom

abc: 7.3565 7.3565 7.3557
angles: 60.00 60.00 90.00
Site moments in Bohr magnetons follow the coordinates.
Sites, in units of the cell vectors:
Y (0.5000, 0.5000, 0.0000)  -0.14
Cl (0.7566, 0.7566, 0.4868)  0.01
Cl (0.7567, 0.2433, 0.0000)  0.01
Cl (0.2433, 0.7567, 0.0000)  0.01
Cl (0.2434, 0.2434, 0.5132)  0.01
Cl (0.2433, 0.2433, 0.0000)  0.01
Cl (0.7567, 0.7567, 0.0000)  0.01
Mo (0.0000, 0.0000, 0.0000)  1.00
Cs (0.7500, 0.2500, 0.5000)  0.00
Cs (0.2500, 0.7500, 0.5000)  0.00



An optimized crystal structure of CsY2MoCl, computed with GGA-PBE.

* volume: 192.1 Å³/f.u.
* Fermi-level density of states: 3.83 states/eV per cell
* ΔE_f (raw): 0.38 eV per atom

abc: 5.2491 6.9722 5.2491
angles: 90.00 90.00 90.00
Sites, in units of the cell vectors:
Y (0.5000, 0.0000, 0.0000)
Y (0.0000, 0.0000, 0.5000)
Mo (0.0000, 0.0000, 0.0000)
Cl (0.5000, 0.5000, 0.5000)
Cs (0.0000, 0.5000, 0.0000)



An optimized crystal structure of Cs2NCl7, computed with GGA-PBE.

* volume: 289.7 Å³/f.u.
* Fermi-level density of states: 10.48 states/eV per cell
* ΔE_f (raw): -0.33 eV per atom

abc: 7.8915 7.8915 7.2643
angles: 57.10 57.10 90.00
Sites, in units of the cell vectors:
Cl (0.7003, 0.2997, 0.0000)
Cl (0.0000, 0.0000, 0.0000)
Cl (0.7499, 0.7499, 0.5002)
Cl (0.2501, 0.2501, 0.4998)
Cl (0.7003, 0.7003, 0.0000)
Cl (0.2997, 0.7003, 0.0000)
Cl (0.2997, 0.2997, 0.0000)
Cs (0.7500, 0.2500, 0.5000)
Cs (0.2500, 0.7500, 0.5000)
N (0.5000, 0.5000, 0.0000)



An optimized crystal structure of Cs3NCl6, computed with GGA-PBE.

* volume: 331.0 Å³/f.u.
* Fermi-level density of states: 0.00 states/eV per cell
* ΔE_f (raw): -0.72 eV per atom

abc: 7.7650 7.7650 7.7649
angles: 60.00 60.00 90.00
Sites, in units of the cell vectors:
Cl (0.2941, 0.7059, 0.0000)
Cl (0.7059, 0.2941, 0.0000)
Cl (0.7059, 0.7059, 0.5882)
Cl (0.2941, 0.2941, 0.0000)
Cl (0.2941, 0.2941, 0.4118)
Cl (0.7059, 0.7059, 0.0000)
Cs (0.2500, 0.7500, 0.5000)
Cs (0.7500, 0.2500, 0.5000)
Cs (0.0000, 0.0000, 0.0000)
N (0.5000, 0.5000, 0.0000)



An optimized crystal structure of CsNCl2, computed with GGA-PBE.

* volume: 140.0 Å³/f.u.
* Fermi-level density of states: 11.02 states/eV per cell
* ΔE_f (raw): 0.55 eV per atom
* relative energy among the computed polymorphs: 0.493 eV per atom

abc: 5.8285 5.8285 5.8285
angles: 60.00 60.00 60.00
Site moments in Bohr magnetons follow the coordinates.
Sites, in units of the cell vectors:
N (0.0000, 0.0000, 0.0000)  1.93
Cl (0.7500, 0.7500, 0.7500)  0.44
Cl (0.2500, 0.2500, 0.2500)  0.44
Cs (0.5000, 0.5000, 0.5000)  0.01



An optimized crystal structure of Cs2NCl, computed with GGA-PBE.

* volume: 135.5 Å³/f.u.
* Fermi-level density of states: 16.14 states/eV per cell
* ΔE_f (raw): -0.16 eV per atom
* relative energy among the computed polymorphs: 0.029 eV per atom

abc: 5.7652 5.7652 5.7652
angles: 60.00 60.00 60.00
Site moments in Bohr magnetons follow the coordinates.
Sites, in units of the cell vectors:
Cs (0.2500, 0.2500, 0.2500)  0.01
Cs (0.7500, 0.7500, 0.7500)  0.01
Cl (0.5000, 0.5000, 0.5000)  0.01
N (0.0000, 0.0000, 0.0000)  1.23



An optimized crystal structure of Cs2N2Cl, computed with GGA-PBE.

* volume: 171.4 Å³/f.u.
* Fermi-level density of states: 2.65 states/eV per cell
* ΔE_f (raw): -0.87 eV per atom
* relative energy among the computed polymorphs: 0.000 eV per atom

abc: 4.8808 4.8911 8.6738
angles: 77.20 73.66 60.07
Site moments in Bohr magnetons follow the coordinates.
Sites, in units of the cell vectors:
Cs (0.7640, 0.7224, 0.7497)  0.01
Cs (0.2360, 0.2776, 0.2503)  0.01
N (0.5421, 0.3766, 0.5392)  0.20
N (0.4579, 0.6234, 0.4608)  0.20
Cl (0.0000, 0.0000, 0.0000)  0.00



An optimized crystal structure of CsN2Cl6, computed with GGA-PBE.

* volume: 409.4 Å³/f.u.
* Fermi-level density of states: 2.96 states/eV per cell
* ΔE_f (raw): 0.77 eV per atom

abc: 7.4443 7.6312 7.6312
angles: 77.84 78.41 78.41
Site moments in Bohr magnetons follow the coordinates.
Sites, in units of the cell vectors:
N (0.4538, 0.3331, 0.3331)  1.94
N (0.5462, 0.6669, 0.6669)  1.94
Cl (0.9945, 0.3968, 0.1435)  0.01
Cl (0.9945, 0.1435, 0.3968)  0.01
Cl (0.5000, 0.1043, 0.8957)  0.00
Cl (0.0055, 0.6032, 0.8565)  0.01
Cl (0.5000, 0.8957, 0.1043)  0.00
Cl (0.0055, 0.8565, 0.6032)  0.01
Cs (0.0000, 0.0000, 0.0000)  0.00



An optimized crystal structure of Cs2NCl, computed with GGA-PBE.

* volume: 200.7 Å³/f.u.
* Fermi-level density of states: 0.84 states/eV per cell
* ΔE_f (raw): -0.19 eV per atom
* relative energy among the computed polymorphs: 0.000 eV per atom

abc: 7.5976 7.5976 8.7870
angles: 64.39 64.39 90.00
Site moments in Bohr magnetons follow the coordinates.
Sites, in units of the cell vectors:
N (0.5000, 0.5000, 0.0000)  1.22
N (0.2500, 0.7500, 0.5000)  1.21
Cl (0.7500, 0.2500, 0.5000)  0.00
Cl (0.0000, 0.0000, 0.0000)  0.00
Cs (0.8750, 0.8358, 0.7500)  0.03
Cs (0.5858, 0.1250, 0.2500)  0.03
Cs (0.3750, 0.4142, 0.7500)  0.03
Cs (0.1642, 0.6250, 0.2500)  0.03



An optimized crystal structure of CsNCl2, computed with GGA-PBE.

* volume: 192.5 Å³/f.u.
* Fermi-level density of states: 0.00 states/eV per cell
* ΔE_f (raw): 0.07 eV per atom
* relative energy among the computed polymorphs: 0.015 eV per atom

abc: 7.7875 7.7875 7.7875
angles: 42.15 42.15 42.15
Site moments in Bohr magnetons follow the coordinates.
Sites, in units of the cell vectors:
Cs (0.5000, 0.5000, 0.5000)  0.00
N (0.0000, 0.0000, 0.0000)  1.22
Cl (0.0983, 0.0983, 0.0983)  0.07
Cl (0.9017, 0.9017, 0.9017)  0.07



An optimized crystal structure of CsNCl3, computed with GGA-PBE.

* volume: 343.7 Å³/f.u.
* Fermi-level density of states: 22.51 states/eV per cell
* ΔE_f (raw): 0.79 eV per atom
* relative energy among the computed polymorphs: 0.647 eV per atom

abc: 7.0051 7.0051 7.0051
angles: 90.00 90.00 90.00
Site moments in Bohr magnetons follow the coordinates.
Sites, in units of the cell vectors:
Cl (0.0000, 0.5000, 0.0000)  0.52
Cl (0.5000, 0.0000, 0.0000)  0.50
Cl (0.0000, 0.0000, 0.5000)  0.41
Cs (0.0000, 0.0000, 0.0000)  0.00
N (0.5000, 0.5000, 0.5000)  1.95